Entry 1:
CsKCd2Au: relaxed, PBE.

Output
energy above the lowest structure with this stoichiometry: 0.018 eV/atom
formation energy: -0.11 eV/atom
total energy: -1.52 eV/atom
magnetic moment: 0.0 μB/cell

Geometry as POSCAR:
```
CsKCd2Au
1.0
5.5475 0.0000 0.0000
0.0000 5.5475 0.0000
0.0000 0.0000 6.2272
Cs K Cd Au
1 1 2 1
direct
0.0000 0.0000 0.0000 Cs
0.5000 0.5000 0.0000 K
0.0000 0.5000 0.5000 Cd
0.5000 0.0000 0.5000 Cd
0.5000 0.5000 0.5000 Au
```

Entry 2:
BaHAu: relaxed, PBE.

Output
energy above the lowest structure with this stoichiometry: 0.000 eV/atom
total energy: -3.40 eV/atom
magnetic moment: 0.0 μB/cell

Geometry as POSCAR:
```
BaHAu
1.0
2.3670 1.3666 8.1005
-2.3670 1.3666 8.1005
0.0000 -2.7332 8.1005
Ba H Au
2 2 2
direct
0.0927 0.0927 0.0927 Ba
0.9073 0.9073 0.9073 Ba
0.2031 0.2031 0.2031 H
0.7969 0.7969 0.7969 H
0.3444 0.3444 0.3444 Au
0.6556 0.6556 0.6556 Au
```

Entry 3:
Li4Pr2H: relaxed, PBE.

Output
total energy: -2.95 eV/atom
magnetic moment: 0.0 μB/cell

Geometry as POSCAR:
```
Li4Pr2H
1.0
-1.8719 1.8719 10.8259
1.8719 -1.8719 10.8259
1.8719 1.8719 -10.8259
Li Pr H
4 2 1
direct
0.0000 0.5000 0.5000 Li
0.0925 0.0925 0.0000 Li
0.5000 0.0000 0.5000 Li
0.9075 0.9075 0.0000 Li
0.3082 0.3082 0.0000 Pr
0.6918 0.6918 0.0000 Pr
0.0000 0.0000 0.0000 H
```

Entry 4:
Pr2PuGe: relaxed, PBE.

Output
energy above the lowest structure with this stoichiometry: 0.000 eV/atom
formation energy: -0.25 eV/atom
total energy: -7.37 eV/atom
magnetic moment: 6.4 μB/cell

Geometry as POSCAR:
```
Pr2PuGe
1.0
4.8883 0.0000 0.0000
0.0000 4.8883 0.0000
0.0000 0.0000 4.5587
Pr Pu Ge
2 1 1
direct
0.0000 0.5000 0.0000 Pr
0.5000 0.0000 0.0000 Pr
0.0000 0.0000 0.5000 Pu
0.5000 0.5000 0.5000 Ge
```

Entry 5:
AcAgSnTe3: relaxed, PBE.

Output
total energy: -4.17 eV/atom
magnetic moment: 0.0 μB/cell
uncorrected formation energy: -74.94 kJ per mole of atoms

Geometry as POSCAR:
```
AcAgSnTe3
1.0
9.3366 0.0000 0.0000
0.0000 4.4857 0.0000
-1.9557 0.0000 9.7207
Ac Ag Sn Te
2 2 2 6
direct
0.1710 0.2500 0.2379 Ac
0.8290 0.7500 0.7621 Ac
0.0774 0.2500 0.5784 Ag
0.9226 0.7500 0.4216 Ag
0.3404 0.7500 0.8474 Sn
0.6596 0.2500 0.1526 Sn
0.1002 0.2500 0.8751 Te
0.2417 0.7500 0.5006 Te
0.4162 0.7500 0.1623 Te
0.5838 0.2500 0.8377 Te
0.7583 0.2500 0.4994 Te
0.8998 0.7500 0.1249 Te
```

Entry 6:
Ce8Ir2Au: relaxed, PBE.

Output
formation energy: -0.34 eV/atom
total energy: -6.57 eV/atom
magnetic moment: 2.6 μB/cell

Geometry as POSCAR:
```
Ce8Ir2Au
1.0
4.0926 -6.5150 0.0000
4.0926 6.5150 0.0000
-1.6096 0.0000 5.2706
Ce Ir Au
8 2 1
direct
0.0927 0.3024 0.5723 Ce
0.2405 0.7595 0.0000 Ce
0.3024 0.0927 0.5723 Ce
0.4024 0.4024 0.1705 Ce
0.5976 0.5976 0.8295 Ce
0.6976 0.9073 0.4277 Ce
0.7595 0.2405 0.0000 Ce
0.9073 0.6976 0.4277 Ce
0.2967 0.7033 0.5000 Ir
0.7033 0.2967 0.5000 Ir
0.0000 0.0000 0.0000 Au
```

Entry 7:
K2LiSe: relaxed, PBE.

Output
total energy: -2.52 eV/atom
magnetic moment: 0.0 μB/cell
uncorrected formation energy: -60.17 kJ per mole of atoms

Geometry as POSCAR:
```
K2LiSe
1.0
2.7503 -2.7837 0.0000
2.7503 2.7837 0.0000
0.0000 0.0000 9.4555
K Li Se
2 1 1
direct
0.0000 0.0000 0.0000 K
0.5000 0.5000 0.4270 K
0.0000 0.0000 0.7097 Li
0.5000 0.5000 0.7656 Se
```

Entry 8:
NaAgIBr2: relaxed, PBE.

Output
total energy: -2.38 eV/atom
magnetic moment: 0.0 μB/cell
uncorrected formation energy: -54.87 kJ per mole of atoms

Geometry as POSCAR:
```
NaAgIBr2
1.0
5.3883 0.0000 0.0000
0.0000 5.3883 0.0000
0.0000 0.0000 5.7433
Na Ag I Br
1 1 1 2
direct
0.0000 0.0000 0.0000 Na
0.5000 0.5000 0.5000 Ag
0.5000 0.5000 0.0000 I
0.0000 0.5000 0.5000 Br
0.5000 0.0000 0.5000 Br
```

Entry 9:
Ho2Tl5Cd: relaxed, PBE.

Output
formation energy: -0.22 eV/atom
total energy: -2.96 eV/atom
magnetic moment: 0.0 μB/cell

Geometry as POSCAR:
```
Ho2Tl5Cd
1.0
6.6143 0.0000 0.0000
0.0000 13.2716 0.0000
0.0000 0.0000 4.7796
Ho Tl Cd
4 10 2
direct
0.2346 0.1286 0.0000 Ho
0.2654 0.6286 0.0000 Ho
0.7346 0.3714 0.0000 Ho
0.7654 0.8714 0.0000 Ho
0.0000 0.0000 0.5000 Tl
0.0175 0.7460 0.5000 Tl
0.2316 0.3806 0.0000 Tl
0.2684 0.8806 0.0000 Tl
0.4825 0.2460 0.5000 Tl
0.5000 0.5000 0.5000 Tl
0.5175 0.7540 0.5000 Tl
0.7316 0.1194 0.0000 Tl
0.7684 0.6194 0.0000 Tl
0.9825 0.2540 0.5000 Tl
0.0000 0.5000 0.5000 Cd
0.5000 0.0000 0.5000 Cd
```

Entry 10:
LiLaP2: relaxed, PBE.

Output
energy above the lowest structure with this stoichiometry: 0.000 eV/atom
formation energy: -0.91 eV/atom
total energy: -5.33 eV/atom
magnetic moment: 0.0 μB/cell

Geometry as POSCAR:
```
LiLaP2
1.0
4.9974 -2.0818 0.0000
4.9974 2.0818 0.0000
-0.7140 0.0000 4.3763
Li La P
1 1 2
direct
0.0000 0.0000 0.0000 Li
0.2678 0.2678 0.6099 La
0.5730 0.5730 0.7500 P
0.7619 0.7619 0.0963 P
```

Entry 11:
Sm2ReOs: relaxed, PBE.

Output
formation energy: 0.98 eV/atom
total energy: -7.30 eV/atom
magnetic moment: 0.0 μB/cell

Geometry as POSCAR:
```
Sm2ReOs
1.0
1.5502 0.8950 10.2447
-1.5502 0.8950 10.2447
0.0000 -1.7900 10.2447
Sm Re Os
2 1 1
direct
0.0924 0.0924 0.0924 Sm
0.9076 0.9076 0.9076 Sm
0.0000 0.0000 0.0000 Re
0.5000 0.5000 0.5000 Os
```

Entry 12:
Cs2K2Rb5Na2: relaxed, PBE.

Output
formation energy: 0.07 eV/atom
total energy: -0.96 eV/atom
magnetic moment: 0.0 μB/cell

Geometry as POSCAR:
```
Cs2K2Rb5Na2
1.0
-3.0869 3.0869 25.3240
3.0869 -3.0869 25.3240
3.0869 3.0869 -25.3240
Cs K Rb Na
2 2 5 2
direct
0.2200 0.2200 0.0000 Cs
0.7800 0.7800 0.0000 Cs
0.3420 0.3420 0.0000 K
0.6580 0.6580 0.0000 K
0.0000 0.0000 0.0000 Rb
0.0784 0.5784 0.5000 Rb
0.4216 0.9216 0.5000 Rb
0.5784 0.0784 0.5000 Rb
0.9216 0.4216 0.5000 Rb
0.1375 0.1375 0.0000 Na
0.8625 0.8625 0.0000 Na
```

Entry 13:
Ca2ErSe3: relaxed, PBE.

Output
energy above the lowest structure with this stoichiometry: 0.007 eV/atom
total energy: -5.07 eV/atom
magnetic moment: 0.0 μB/cell
uncorrected formation energy: -183.33 kJ per mole of atoms

Geometry as POSCAR:
```
Ca2ErSe3
1.0
-2.0636 2.9259 6.2216
2.0636 -2.9259 6.2216
2.0636 2.9259 -6.2216
Ca Er Se
2 1 3
direct
0.1684 0.1684 0.0000 Ca
0.8316 0.8316 0.0000 Ca
0.5000 0.5000 0.0000 Er
0.0000 0.5000 0.5000 Se
0.3388 0.8388 0.5000 Se
0.6612 0.1612 0.5000 Se
```

Entry 14:
LaEr2Ga2Cu2: relaxed, PBE.

Output
formation energy: -0.40 eV/atom
total energy: -4.45 eV/atom
magnetic moment: 0.0 μB/cell

Geometry as POSCAR:
```
LaEr2Ga2Cu2
1.0
2.2276 1.2861 9.1179
-2.2276 1.2861 9.1179
0.0000 -2.5722 9.1179
La Er Ga Cu
1 2 2 2
direct
0.0000 0.0000 0.0000 La
0.1266 0.1266 0.1266 Er
0.8734 0.8734 0.8734 Er
0.2554 0.2554 0.2554 Ga
0.7446 0.7446 0.7446 Ga
0.4096 0.4096 0.4096 Cu
0.5904 0.5904 0.5904 Cu
```

Entry 15:
Pr2PuNp2Ru5: relaxed, PBE.

Output
formation energy: -0.02 eV/atom
total energy: -9.63 eV/atom
magnetic moment: 17.4 μB/cell

Geometry as POSCAR:
```
Pr2PuNp2Ru5
1.0
10.5701 0.0000 0.0000
0.0000 10.5701 0.0000
0.0000 0.0000 3.6813
Pr Pu Np Ru
4 2 4 10
direct
0.1734 0.3266 0.0000 Pr
0.3266 0.8266 0.0000 Pr
0.6734 0.1734 0.0000 Pr
0.8266 0.6734 0.0000 Pr
0.0000 0.0000 0.0000 Pu
0.5000 0.5000 0.0000 Pu
0.1340 0.6340 0.0000 Np
0.3660 0.1340 0.0000 Np
0.6340 0.8660 0.0000 Np
0.8660 0.3660 0.0000 Np
0.0000 0.5000 0.5000 Ru
0.0564 0.7953 0.5000 Ru
0.2047 0.0564 0.5000 Ru
0.2953 0.5564 0.5000 Ru
0.4436 0.2953 0.5000 Ru
0.5000 0.0000 0.5000 Ru
0.5564 0.7047 0.5000 Ru
0.7047 0.4436 0.5000 Ru
0.7953 0.9436 0.5000 Ru
0.9436 0.2047 0.5000 Ru
```

Entry 16:
Ti3AuC: relaxed, PBE.

Output
energy above the lowest structure with this stoichiometry: 0.068 eV/atom
formation energy: -0.55 eV/atom
total energy: -7.79 eV/atom
magnetic moment: 0.0 μB/cell

Geometry as POSCAR:
```
Ti3AuC
1.0
5.9213 -1.5594 0.0000
5.9213 1.5594 0.0000
-5.8464 0.0000 8.0094
Ti Au C
6 2 2
direct
0.1159 0.1159 0.1992 Ti
0.1278 0.1278 0.7174 Ti
0.3693 0.3693 0.5338 Ti
0.6307 0.6307 0.4662 Ti
0.8722 0.8722 0.2826 Ti
0.8841 0.8841 0.8008 Ti
0.3784 0.3784 0.0539 Au
0.6216 0.6216 0.9461 Au
0.2557 0.2557 0.6389 C
0.7443 0.7443 0.3611 C
```

Entry 17:
Ti2CoSb2: relaxed, PBE.

Output
total energy: -6.33 eV/atom
magnetic moment: 0.0 μB/cell
uncorrected formation energy: -10.06 kJ per mole of atoms

Geometry as POSCAR:
```
Ti2CoSb2
1.0
6.6763 0.0000 0.0000
0.0000 6.6763 0.0000
0.0000 0.0000 4.1268
Ti Co Sb
4 2 4
direct
0.1501 0.3499 0.0000 Ti
0.3499 0.8499 0.0000 Ti
0.6501 0.1501 0.0000 Ti
0.8499 0.6501 0.0000 Ti
0.0000 0.0000 0.5000 Co
0.5000 0.5000 0.5000 Co
0.1568 0.6568 0.5000 Sb
0.3432 0.1568 0.5000 Sb
0.6568 0.8432 0.5000 Sb
0.8432 0.3432 0.5000 Sb
```

Entry 18:
SrZr4Cl: relaxed, PBE.

Output
total energy: -5.75 eV/atom
magnetic moment: 0.0 μB/cell
uncorrected formation energy: 52.14 kJ per mole of atoms

Geometry as POSCAR:
```
SrZr4Cl
1.0
0.0000 4.3764 4.3764
4.3764 0.0000 4.3764
4.3764 4.3764 0.0000
Sr Zr Cl
1 4 1
direct
0.0000 0.0000 0.0000 Sr
0.1053 0.6316 0.6316 Zr
0.6316 0.1053 0.6316 Zr
0.6316 0.6316 0.1053 Zr
0.6316 0.6316 0.6316 Zr
0.2500 0.2500 0.2500 Cl
```

Entry 19:
Sm2AuBr: relaxed, PBE.

Output
energy above the lowest structure with this stoichiometry: 0.102 eV/atom
total energy: -4.45 eV/atom
magnetic moment: 0.0 μB/cell
uncorrected formation energy: -82.21 kJ per mole of atoms

Geometry as POSCAR:
```
Sm2AuBr
1.0
3.5282 0.0000 0.0000
0.0000 3.5282 0.0000
0.0000 0.0000 8.3447
Sm Au Br
2 1 1
direct
0.0000 0.0000 0.2250 Sm
0.0000 0.0000 0.7750 Sm
0.5000 0.5000 0.0000 Au
0.5000 0.5000 0.5000 Br
```

Entry 20:
Zr4C5: relaxed, PBE.

Output
energy above the lowest structure with this stoichiometry: 0.282 eV/atom
formation energy: 0.32 eV/atom
total energy: -8.61 eV/atom
magnetic moment: 0.0 μB/cell

Geometry as POSCAR:
```
Zr4C5
1.0
6.7326 0.0000 0.0000
-3.3663 5.8306 0.0000
0.0000 0.0000 5.9231
Zr C
8 10
direct
0.0000 0.0000 0.0000 Zr
0.0000 0.0000 0.5000 Zr
0.0000 0.4167 0.2500 Zr
0.0000 0.5833 0.7500 Zr
0.4167 0.0000 0.2500 Zr
0.4167 0.4167 0.7500 Zr
0.5833 0.0000 0.7500 Zr
0.5833 0.5833 0.2500 Zr
0.0000 0.2519 0.7500 C
0.0000 0.7481 0.2500 C
0.2519 0.0000 0.7500 C
0.2519 0.2519 0.2500 C
0.3333 0.6667 0.0000 C
0.3333 0.6667 0.5000 C
0.6667 0.3333 0.0000 C
0.6667 0.3333 0.5000 C
0.7481 0.0000 0.2500 C
0.7481 0.7481 0.7500 C
```

Entry 21:
ZrTl2AgF6: relaxed, PBE.

Output
total energy: -5.12 eV/atom
magnetic moment: 0.0 μB/cell
uncorrected formation energy: -230.11 kJ per mole of atoms

Geometry as POSCAR:
```
ZrTl2AgF6
1.0
7.0656 0.0000 0.0000
0.0000 8.2139 0.0000
0.0000 0.0000 7.0443
Zr Tl Ag F
2 4 2 12
direct
0.2500 0.2500 0.0846 Zr
0.7500 0.7500 0.9154 Zr
0.2500 0.5147 0.6278 Tl
0.2500 0.9853 0.6278 Tl
0.7500 0.0147 0.3722 Tl
0.7500 0.4853 0.3722 Tl
0.2500 0.7500 0.3003 Ag
0.7500 0.2500 0.6997 Ag
0.0412 0.2500 0.2915 F
0.0561 0.2500 0.8705 F
0.2500 0.0029 0.0864 F
0.2500 0.4971 0.0864 F
0.4439 0.2500 0.8705 F
0.4588 0.2500 0.2915 F
0.5412 0.7500 0.7085 F
0.5561 0.7500 0.1295 F
0.7500 0.5029 0.9136 F
0.7500 0.9971 0.9136 F
0.9439 0.7500 0.1295 F
0.9588 0.7500 0.7085 F
```

Entry 22:
K2Np3CuO12: relaxed, PBE.

Output
total energy: -8.08 eV/atom
magnetic moment: 0.9 μB/cell
uncorrected formation energy: -219.12 kJ per mole of atoms

Geometry as POSCAR:
```
K2Np3CuO12
1.0
3.9469 2.2788 5.8380
-3.9469 2.2788 5.8380
0.0000 -4.5575 5.8380
K Np Cu O
2 3 1 12
direct
0.1261 0.1261 0.1261 K
0.8739 0.8739 0.8739 K
0.0000 0.5000 0.5000 Np
0.5000 0.0000 0.5000 Np
0.5000 0.5000 0.0000 Np
0.5000 0.5000 0.5000 Cu
0.1782 0.5659 0.5659 O
0.1785 0.1785 0.5685 O
0.1785 0.5685 0.1785 O
0.4315 0.8215 0.8215 O
0.4341 0.4341 0.8218 O
0.4341 0.8218 0.4341 O
0.5659 0.1782 0.5659 O
0.5659 0.5659 0.1782 O
0.5685 0.1785 0.1785 O
0.8215 0.4315 0.8215 O
0.8215 0.8215 0.4315 O
0.8218 0.4341 0.4341 O
```

Entry 23:
PrAl2Tc2B: relaxed, PBE.

Output
formation energy: -0.46 eV/atom
total energy: -7.07 eV/atom
magnetic moment: 0.0 μB/cell

Geometry as POSCAR:
```
PrAl2Tc2B
1.0
4.2785 0.0000 0.0000
0.0000 4.2785 0.0000
0.0000 0.0000 5.6384
Pr Al Tc B
1 2 2 1
direct
0.0000 0.0000 0.0000 Pr
0.5000 0.5000 0.2415 Al
0.5000 0.5000 0.7585 Al
0.0000 0.5000 0.5000 Tc
0.5000 0.0000 0.5000 Tc
0.0000 0.0000 0.5000 B
```